A plane-wave DFT calculation with PBE-GGA was carried out for an optimized crystal structure of Nd3Hg2C.

abc: 7.406 7.406 6.915
angles: 90.00 90.00 120.00
Atoms (fractional coordinates):
Nd 0.698 0.849 0.250
Nd 0.151 0.302 0.250
Nd 0.151 0.849 0.250
Nd 0.302 0.151 0.750
Nd 0.849 0.698 0.750
Nd 0.849 0.151 0.750
Hg 0.333 0.667 0.945
Hg 0.667 0.333 0.445
Hg 0.667 0.333 0.055
Hg 0.333 0.667 0.555
C 0.000 0.000 0.000
C 0.000 0.000 0.500

Properties
Space-group type ... No. 194
Calculated volume ... 328.5 Å³/cell
Total DFT energy (no corrections) ... -4.260 eV/atom
Energy relative to the elements ... -138 kJ/mol of formula units